Material: ZrAl2Hg
Method: DFT, GGA-PBE
State: relaxed

The density of states at the Fermi level is 2.07 states/eV/cell. The value obtained for the density is 7.3 g/cm3. The formation enthalpy at 0 K is -186 meV per atom. The value obtained for the volume is 78.80 Å³/cell. The calculation puts the total DFT energy (no corrections) at -17.08 eV/f.u.

The structure belongs to space group Pmm2 (No. 25); the cell edges are 3.079, 4.593 and 5.571 Å and the angles 90.00°, 90.00° and 90.00°. The asymmetric unit holds Zr at (0.000, 0.000, 0.000), Al at (0.500, 0.000, 0.529), Al at (0.500, 0.500, 0.784) and Hg at (0.500, 0.500, 0.269).

=====

Material: Ac3Cu2RhO9
Method: DFT, GGA-PBE
State: relaxed

The density of states at the Fermi level is 9.92 states/eV/cell. The value obtained for the density is 9.2 g/cm3. The value obtained for the volume is 190.78 Å³/cell. The calculation puts the total DFT energy (no corrections) at -102.45 eV/f.u. Its formation energy from raw total energies is -1997 meV/atom.

The structure belongs to space group P-3m1 (No. 164); the cell edges are 5.6328, 5.6328 and 6.9431 Å and the angles 90.00°, 90.00° and 120.00°. The asymmetric unit holds Ac at (0.0000, 0.0000, 0.0000), Ac at (0.3333, 0.6667, 0.6699), Cu at (0.3333, 0.6667, 0.1584), Rh at (0.0000, 0.0000, 0.5000), O at (0.0000, 0.5000, 0.0000) and O at (0.1673, 0.3346, 0.3327).

=====

Material: TaCuNi2
Method: DFT, GGA-PBE
State: relaxed

The density of states at the Fermi level is 5.35 states/eV/cell. The value obtained for the density is 11.6 g/cm3. The formation enthalpy at 0 K is 38 meV per atom. The value obtained for the volume is 51.94 Å³/cell. The calculation puts the total DFT energy (no corrections) at -27.36 eV/f.u.

The structure belongs to space group Pmmm (No. 47); the cell edges are 3.441, 3.749 and 4.027 Å and the angles 90.00°, 90.00° and 90.00°. The asymmetric unit holds Ta at (0.000, 0.000, 0.000), Cu at (0.500, 0.000, 0.500), Ni at (0.000, 0.500, 0.500) and Ni at (0.500, 0.500, 0.000).

=====

Material: HgPbBr4
Method: DFT, GGA-PBE
State: relaxed

The density of states at the Fermi level is 15.26 states/eV/cell. The value obtained for the density is 6.4 g/cm3. The value obtained for the volume is 756.02 Å³/cell. The calculation puts the total DFT energy (no corrections) at -9.76 eV/f.u. Its formation energy from raw total energies is 157 meV/atom.

The structure belongs to space group F-43m (No. 216); the cell edges are 9.110, 9.110 and 9.110 Å and the angles 90.00°, 90.00° and 90.00°. The asymmetric unit holds Hg at (0.000, 0.000, 0.000), Pb at (0.250, 0.250, 0.750) and Br at (0.125, 0.125, 0.375).

=====

Number 1: M_tot 0.00 μB/f.u.. Number 2: M_tot 1.25 μB/f.u.. Number 3: M_tot 0.00 μB/f.u.. Number 4: M_tot 1.89 μB/f.u..